No. 1
## Ba4SmCd5 (PBE)

Data for an optimized crystal structure of Ba4SmCd5.

Cell lengths 4.1180, 4.1180, 21.2012 Å; angles 90.00, 90.00, 90.00 degrees
Space group P4/mmm (No. 123)
Unique sites:
1 Ba 0.0000 0.0000 0.1043 [2 per cell]
2 Ba 0.0000 0.0000 0.3137 [2 per cell]
3 Sm 0.0000 0.0000 0.5000 [1 per cell]
4 Cd 0.5000 0.5000 0.0000 [1 per cell]
5 Cd 0.5000 0.5000 0.2083 [2 per cell]
6 Cd 0.5000 0.5000 0.4226 [2 per cell]

Magnetization, μB/cell: 0.002
Volume, Å³/atom: 35.95
Formation energy from the elements, eV per formula unit: -3.1
Calculated total energy, eV per atom: -2.005

=====

No. 2
## V2FeSi2 (PBE)

Data for an optimized crystal structure of V2FeSi2.

Cell lengths 5.6327, 10.1053, 4.8141 Å; angles 90.00, 90.00, 90.00 degrees
Space group Ibam (No. 72)
Unique sites:
1 V 0.1670 0.0858 0.0000 [8 per cell]
2 Fe 0.0000 0.5000 0.2500 [4 per cell]
3 Si 0.2134 0.3362 0.0000 [8 per cell]

Magnetization, μB/cell: 0.966
Volume, Å³/atom: 13.70
Calculated total energy, eV per atom: -7.648
Raw formation energy, eV per atom: -0.1388

=====

No. 3
## PrSiH (PBE)

Data for an optimized crystal structure of PrSiH.

Cell lengths 6.1981, 7.9500, 4.5021 Å; angles 90.00, 90.00, 90.00 degrees
Space group Pna2_1 (No. 33)
Unique sites:
1 Pr 0.2444 0.0803 0.0000 [4 per cell]
2 Si 0.0009 0.7410 0.0209 [4 per cell]
3 H 0.0893 0.8399 0.7241 [4 per cell]

Magnetization, μB/cell: 0.000
Volume, Å³/atom: 18.49
Calculated total energy, eV per atom: -4.976
E above lowest polymorph, eV/atom: 0.244

=====

No. 4
## BeInRe2 (PBE)

Data for an optimized crystal structure of BeInRe2.

Cell lengths 2.9953, 4.5047, 8.6911 Å; angles 90.00, 90.00, 90.00 degrees
Space group Immm (No. 71)
Unique sites:
1 Be 0.0000 0.0000 0.0000 [2 per cell]
2 In 0.0000 0.0000 0.5000 [2 per cell]
3 Re 0.0000 0.5000 0.2932 [4 per cell]

Magnetization, μB/cell: 0.000
Volume, Å³/atom: 14.66
Formation energy from the elements, eV per formula unit: 1.5
Calculated total energy, eV per atom: -7.453
E above lowest polymorph, eV/atom: 0.299

=====

What did the fourth record say?
## BeInRe2 (PBE)

Data for an optimized crystal structure of BeInRe2.

Cell lengths 2.9953, 4.5047, 8.6911 Å; angles 90.00, 90.00, 90.00 degrees
Space group Immm (No. 71)
Unique sites:
1 Be 0.0000 0.0000 0.0000 [2 per cell]
2 In 0.0000 0.0000 0.5000 [2 per cell]
3 Re 0.0000 0.5000 0.2932 [4 per cell]

Magnetization, μB/cell: 0.000
Volume, Å³/atom: 14.66
Formation energy from the elements, eV per formula unit: 1.5
Calculated total energy, eV per atom: -7.453
E above lowest polymorph, eV/atom: 0.299